# 1
CuPbN2O | Alexandria via LeMat-Bulk | PBE | optimized geometry; SG = P4/mmm (123); formation energy without anion corrections = 1.0193 eV/atom; DFT total energy = -24.317 eV/f.u.
1.0
3.873 0.000 0.000
0.000 3.873 0.000
0.000 0.000 3.935
Cu Pb N O
1 1 2 1
Cartesian
0.000 0.000 0.000 Cu
1.937 1.937 1.967 Pb
0.000 1.937 0.000 N
1.937 0.000 0.000 N
0.000 0.000 1.967 O

# 2
CuPtNO2 | Alexandria via LeMat-Bulk | PBE | optimized geometry; SG = P4/mmm (123); formation energy without anion corrections = 1.1187 eV/atom; DFT total energy = -22.785 eV/f.u.
1.0
3.738 0.000 0.000
0.000 3.738 0.000
0.000 0.000 3.813
Cu Pt N O
1 1 1 2
Cartesian
0.000 0.000 0.000 Cu
1.869 1.869 1.906 Pt
0.000 0.000 1.906 N
0.000 1.869 0.000 O
1.869 0.000 0.000 O